Below is crystalline Li2Ni3SnO8 at its relaxed geometry, with properties calculated at the PBE+U level. Values from VASP.

Computed properties:
* total moment: 4.01 μB/f.u.
* calculated total energy: -5.09 eV/atom

Cell and atoms, written as Quantum ESPRESSO input:
```
&SYSTEM
  ibrav = 0, nat = 28, ntyp = 4
/
ATOMIC_SPECIES
Li 6.94 Li.upf
Ni 58.69 Ni.upf
Sn 118.71 Sn.upf
O 16.00 O.upf
ATOMIC_POSITIONS crystal
Li 0.105 0.053 0.176
Li 0.125 0.553 0.684
Li 0.875 0.447 0.316
Li 0.895 0.947 0.824
Ni 0.000 0.000 0.500
Ni 0.000 0.500 0.000
Ni 0.500 0.000 0.000
Ni 0.500 0.000 0.500
Ni 0.500 0.500 0.000
Ni 0.500 0.500 0.500
Sn 0.488 0.751 0.249
Sn 0.512 0.249 0.751
O 0.230 0.395 0.117
O 0.240 0.850 0.102
O 0.249 0.600 0.898
O 0.261 0.356 0.617
O 0.272 0.124 0.398
O 0.272 0.894 0.614
O 0.281 0.659 0.391
O 0.297 0.139 0.890
O 0.703 0.861 0.110
O 0.719 0.341 0.609
O 0.728 0.106 0.386
O 0.728 0.876 0.602
O 0.739 0.644 0.383
O 0.751 0.400 0.102
O 0.760 0.150 0.898
O 0.770 0.605 0.883
CELL_PARAMETERS angstrom
5.857 0.000 0.000
-2.922 5.096 0.000
-2.915 -1.683 9.927
```